Record 1
DFT (PBE) results for crystalline ZrZn2Cl at its relaxed geometry.

Results
- ΔE to the lowest computed polymorph: 0 meV per atom
- Crystal system: trigonal

Cell: 9.241 9.241 9.241 Å, 20.36 20.36 20.36°
Atoms (fractional coordinates):
Cl 0.233 0.233 0.233
Zn 0.017 0.017 0.017
Zn 0.750 0.750 0.750
Zr 0.499 0.499 0.499


Record 2
DFT (PBE) results for crystalline ZrZnCl2 at its relaxed geometry.

Results
- ΔE to the lowest computed polymorph: 0 meV per atom
- Crystal system: trigonal

Cell: 10.696 10.696 10.696 Å, 17.67 17.67 17.67°
Atoms (fractional coordinates):
Zn 0.250 0.250 0.250
Zr 0.750 0.750 0.750
Cl 0.025 0.025 0.025
Cl 0.475 0.475 0.475


Record 3
DFT (PBE) results for crystalline ZrZnCl at its relaxed geometry.

Results
- ΔE to the lowest computed polymorph: 700 meV per atom
- Crystal system: cubic

Cell: 4.393 4.393 4.393 Å, 60.00 60.00 60.00°
Atoms (fractional coordinates):
Cl 0.750 0.750 0.750
Zn 0.000 0.000 0.000
Zr 0.500 0.500 0.500


Record 4
DFT (PBE) results for crystalline ZrZnCl4 at its relaxed geometry.

Results
- Crystal system: cubic

Cell: 5.745 5.745 5.745 Å, 60.00 60.00 60.00°
Last column: magnetic moment on the atom in μB.
Atoms (fractional coordinates):
Zr 0.000 0.000 0.000  0.89
Zn 0.750 0.750 0.750  -0.04
Cl 0.877 0.374 0.374  -0.26
Cl 0.374 0.374 0.877  -0.26
Cl 0.374 0.877 0.374  -0.26
Cl 0.374 0.374 0.374  -0.26


Record 5
DFT (PBE) results for crystalline ZrZnCl2 at its relaxed geometry.

Results
- ΔE to the lowest computed polymorph: 538 meV per atom
- Crystal system: tetragonal

Cell: 5.099 5.099 5.099 Å, 130.32 130.32 72.89°
Atoms (fractional coordinates):
Zn 0.250 0.750 0.500
Zr 0.750 0.250 0.500
Cl 0.000 0.000 0.000
Cl 0.500 0.500 0.000


Record 6
DFT (PBE) results for crystalline ZrZnCl2 at its relaxed geometry.

Results
- ΔE to the lowest computed polymorph: 704 meV per atom
- Crystal system: tetragonal

Cell: 4.915 4.915 3.317 Å, 90.00 90.00 90.00°
Last column: magnetic moment on the atom in μB.
Atoms (fractional coordinates):
Zn 0.500 0.000 0.500  -0.02
Zr 0.000 0.500 0.500  0.89
Cl 0.000 0.000 0.000  0.00
Cl 0.500 0.500 0.000  0.00


Record 7
DFT (PBE) results for crystalline ZrZn2Cl at its relaxed geometry.

Results
- ΔE to the lowest computed polymorph: 266 meV per atom
- Crystal system: orthorhombic

Cell: 3.269 4.764 5.070 Å, 90.00 90.00 90.00°
Atoms (fractional coordinates):
Cl 0.500 0.500 0.750
Zn 0.000 0.000 0.008
Zn 0.000 0.000 0.492
Zr 0.500 0.500 0.250


Record 8
DFT (PBE) results for crystalline Zr4ZnCl at its relaxed geometry.

Results
- Crystal system: cubic

Cell: 5.801 5.801 5.801 Å, 60.00 60.00 60.00°
Atoms (fractional coordinates):
Zr 0.883 0.372 0.372
Zr 0.372 0.372 0.883
Zr 0.372 0.883 0.372
Zr 0.372 0.372 0.372
Zn 0.000 0.000 0.000
Cl 0.750 0.750 0.750


Record 9
DFT (PBE) results for crystalline ZrZnCl2 at its relaxed geometry.

Results
- ΔE to the lowest computed polymorph: 906 meV per atom
- Crystal system: cubic

Cell: 4.908 4.908 4.908 Å, 60.00 60.00 60.00°
Last column: magnetic moment on the atom in μB.
Atoms (fractional coordinates):
Zn 0.500 0.500 0.500  0.10
Zr 0.750 0.750 0.750  1.21
Cl 0.000 0.000 0.000  0.01
Cl 0.250 0.250 0.250  0.01


Record 10
DFT (PBE) results for crystalline ZrZnCl2 at its relaxed geometry.

Results
- ΔE to the lowest computed polymorph: 592 meV per atom
- Crystal system: cubic

Cell: 4.775 4.775 4.775 Å, 60.00 60.00 60.00°
Last column: magnetic moment on the atom in μB.
Atoms (fractional coordinates):
Zn 0.000 0.000 0.000  0.02
Zr 0.500 0.500 0.500  0.87
Cl 0.250 0.250 0.250  -0.01
Cl 0.750 0.750 0.750  -0.01


Record 11
DFT (PBE) results for crystalline ZrZn2Cl at its relaxed geometry.

Results
- ΔE to the lowest computed polymorph: 153 meV per atom
- Crystal system: orthorhombic

Cell: 4.776 3.044 5.292 Å, 90.00 90.00 90.00°
Atoms (fractional coordinates):
Cl 0.500 0.625 0.700
Zn 0.000 0.125 0.029
Zn 0.500 0.125 0.251
Zr 0.000 0.625 0.519


Record 12
DFT (PBE) results for crystalline ZrZnCl2 at its relaxed geometry.

Results
- ΔE to the lowest computed polymorph: 70 meV per atom
- Crystal system: monoclinic

Cell: 7.620 7.620 4.987 Å, 70.99 70.99 24.15°
Atoms (fractional coordinates):
Zn 0.750 0.750 0.750
Zr 0.250 0.250 0.250
Cl 0.896 0.896 0.105
Cl 0.604 0.604 0.395


Record 13
DFT (PBE) results for crystalline ZrZnCl at its relaxed geometry.

Results
- ΔE to the lowest computed polymorph: 341 meV per atom
- Crystal system: hexagonal

Cell: 4.516 4.516 3.319 Å, 90.00 90.00 120.00°
Atoms (fractional coordinates):
Cl 0.000 0.000 0.833
Zn 0.667 0.333 0.334
Zr 0.333 0.667 0.833


Record 14
DFT (PBE) results for crystalline ZrZnCl at its relaxed geometry.

Results
- ΔE to the lowest computed polymorph: 0 meV per atom
- Crystal system: trigonal

Cell: 3.308 3.308 7.171 Å, 90.00 90.00 120.00°
Atoms (fractional coordinates):
Cl 0.000 0.000 0.932
Zn 0.667 0.333 0.387
Zr 0.333 0.667 0.681


Record 15
DFT (PBE) results for crystalline ZrZn2Cl at its relaxed geometry.

Results
- ΔE to the lowest computed polymorph: 297 meV per atom
- Crystal system: tetragonal

Cell: 3.134 3.134 7.919 Å, 90.00 90.00 90.00°
Last column: magnetic moment on the atom in μB.
Atoms (fractional coordinates):
Cl 0.500 0.500 0.750  0.01
Zn 0.000 0.000 0.002  0.01
Zn 0.000 0.000 0.498  0.01
Zr 0.500 0.500 0.250  0.05


Record 16
DFT (PBE) results for crystalline ZrZnCl3 at its relaxed geometry.

Results
- ΔE to the lowest computed polymorph: 0 meV per atom
- Crystal system: cubic

Cell: 5.093 5.093 5.093 Å, 90.00 90.00 90.00°
Atoms (fractional coordinates):
Zn 0.500 0.500 0.500
Zr 0.000 0.000 0.000
Cl 0.000 0.500 0.000
Cl 0.000 0.000 0.500
Cl 0.500 0.000 0.000


Record 17
DFT (PBE) results for crystalline ZrZn2Cl at its relaxed geometry.

Results
- ΔE to the lowest computed polymorph: 788 meV per atom
- Crystal system: cubic

Cell: 4.838 4.838 4.838 Å, 60.00 60.00 60.00°
Atoms (fractional coordinates):
Zn 0.250 0.250 0.250
Zn 0.750 0.750 0.750
Zr 0.500 0.500 0.500
Cl 0.000 0.000 0.000


Record 18
DFT (PBE) results for crystalline ZrZnCl2 at its relaxed geometry.

Results
- ΔE to the lowest computed polymorph: 170 meV per atom
- Crystal system: tetragonal

Cell: 3.324 3.324 8.004 Å, 90.00 90.00 90.00°
Atoms (fractional coordinates):
Zn 0.000 0.000 0.512
Zr 0.500 0.500 0.722
Cl 0.000 0.000 0.919
Cl 0.500 0.500 0.348


Record 19
DFT (PBE) results for crystalline ZrZnCl2 at its relaxed geometry.

Results
- ΔE to the lowest computed polymorph: 207 meV per atom
- Crystal system: orthorhombic

Cell: 3.514 3.514 10.885 Å, 90.00 90.00 125.93°
Atoms (fractional coordinates):
Zn 0.500 0.500 0.250
Zr 0.500 0.500 0.750
Cl 0.000 0.000 0.934
Cl 0.000 0.000 0.566


Record 20
DFT (PBE) results for crystalline ZrCl2 at its relaxed geometry.

Results
- Crystal system: trigonal

Cell: 8.187 8.187 8.187 Å, 107.03 107.03 107.03°
Last column: magnetic moment on the atom in μB.
Atoms (fractional coordinates):
Cl 0.554 0.857 0.634  0.00
Cl 0.857 0.634 0.554  0.00
Cl 0.634 0.554 0.857  0.00
Cl 0.446 0.143 0.366  0.00
Cl 0.143 0.366 0.446  0.00
Cl 0.366 0.446 0.143  0.00
Cl 0.686 0.222 0.078  0.01
Cl 0.222 0.078 0.686  0.01
Cl 0.078 0.686 0.222  0.01
Cl 0.314 0.778 0.922  0.01
Cl 0.778 0.922 0.314  0.01
Cl 0.922 0.314 0.778  0.01
Zr 0.702 0.899 0.970  0.22
Zr 0.899 0.970 0.702  0.22
Zr 0.970 0.702 0.899  0.22
Zr 0.298 0.101 0.030  0.22
Zr 0.101 0.030 0.298  0.22
Zr 0.030 0.298 0.101  0.22


no.,N(E_F) (states/eV/f.u.),ΔE_f (raw) (eV per formula unit)
1,2.6,-1.78
2,2.6,-3.83
3,2.5,0.21
4,8.1,2.05
5,2.1,-1.68
6,2.4,-1.02
7,2.8,-0.71
8,6.3,2.80
9,3.4,-0.21
10,2.0,-1.46
11,2.1,-1.17
12,3.9,-3.55
13,2.0,-0.87
14,3.2,-1.89
15,4.2,-0.59
16,2.1,-5.05
17,4.0,1.38
18,2.3,-3.15
19,1.7,-3.01
20,1.4,-4.72